No. 1
# GGA-PBE BaPa2F11, optimized geometry
data_BaPa2F11
_space_group_name_H-M_alt 'I b a m'
_space_group_IT_number 72
_space_group_name_Hall '-I 2 2c'
_cell_length_a 8.631
_cell_length_b 10.880
_cell_length_c 12.336
_cell_angle_alpha 90.00
_cell_angle_beta 90.00
_cell_angle_gamma 90.00
loop_
_atom_site_label
_atom_site_type_symbol
_atom_site_fract_x
_atom_site_fract_y
_atom_site_fract_z
Ba1 Ba 0.000 0.000 0.250
Pa1 Pa 0.143 0.320 0.000
F1 F 0.000 0.500 0.000
F2 F 0.094 0.193 0.130
F3 F 0.134 0.283 0.500
F4 F 0.240 0.076 0.376
# formation energy without anion corrections	-3.896	eV per atom


No. 2
# GGA-PBE Ba2PaF11, optimized geometry
data_Ba2PaF11
_space_group_name_H-M_alt 'I b a m'
_space_group_IT_number 72
_space_group_name_Hall '-I 2 2c'
_cell_length_a 9.535
_cell_length_b 11.078
_cell_length_c 11.718
_cell_angle_alpha 90.00
_cell_angle_beta 90.00
_cell_angle_gamma 90.00
loop_
_atom_site_label
_atom_site_type_symbol
_atom_site_fract_x
_atom_site_fract_y
_atom_site_fract_z
Ba1 Ba 0.213 0.213 0.000
Pa1 Pa 0.000 0.500 0.250
F1 F 0.000 0.000 0.000
F2 F 0.061 0.146 0.500
F3 F 0.073 0.344 0.146
F4 F 0.181 0.437 0.354
# formation energy without anion corrections	-3.307	eV per atom


No. 3
# GGA-PBE BaPaTl2F8, optimized geometry
data_BaPaTl2F8
_space_group_name_H-M_alt 'I -4 m 2'
_space_group_IT_number 119
_space_group_name_Hall 'I -4 -2'
_cell_length_a 6.306
_cell_length_b 6.306
_cell_length_c 11.971
_cell_angle_alpha 90.00
_cell_angle_beta 90.00
_cell_angle_gamma 90.00
loop_
_atom_site_label
_atom_site_type_symbol
_atom_site_fract_x
_atom_site_fract_y
_atom_site_fract_z
Ba1 Ba 0.000 0.000 0.000
Pa1 Pa 0.000 0.500 0.250
Tl1 Tl 0.000 0.000 0.500
Tl2 Tl 0.000 0.500 0.750
F1 F 0.206 0.279 0.137
# formation energy without anion corrections	-3.176	eV per atom


No. 4
# GGA-PBE BaPb4F10, optimized geometry
data_BaPb4F10
_space_group_name_H-M_alt 'I 4/m m m'
_space_group_IT_number 139
_space_group_name_Hall '-I 4 2'
_cell_length_a 4.280
_cell_length_b 4.280
_cell_length_c 30.213
_cell_angle_alpha 90.00
_cell_angle_beta 90.00
_cell_angle_gamma 90.00
loop_
_atom_site_label
_atom_site_type_symbol
_atom_site_fract_x
_atom_site_fract_y
_atom_site_fract_z
Ba1 Ba 0.000 0.000 0.000
Pb1 Pb 0.000 0.000 0.201
Pb2 Pb 0.000 0.000 0.397
F1 F 0.000 0.500 0.053
F2 F 0.000 0.500 0.152
F3 F 0.000 0.500 0.250
# formation energy without anion corrections	-2.693	eV per atom


No. 5
# GGA-PBE Ba2PbF, optimized geometry
data_Ba2PbF
_space_group_name_H-M_alt 'F m -3 m'
_space_group_IT_number 225
_space_group_name_Hall '-F 4 2 3'
_cell_length_a 8.272
_cell_length_b 8.272
_cell_length_c 8.272
_cell_angle_alpha 90.00
_cell_angle_beta 90.00
_cell_angle_gamma 90.00
loop_
_atom_site_label
_atom_site_type_symbol
_atom_site_fract_x
_atom_site_fract_y
_atom_site_fract_z
Ba1 Ba 0.250 0.250 0.250
Pb1 Pb 0.000 0.000 0.000
F1 F 0.000 0.000 0.500
# formation energy without anion corrections	-1.243	eV per atom
# energy above the most stable polymorph in this dataset	335	meV/atom


No. 6
# GGA-PBE Ba2PbF, optimized geometry
data_Ba2PbF
_space_group_name_H-M_alt 'I -4 2 d'
_space_group_IT_number 122
_space_group_name_Hall 'I -4 2bw'
_cell_length_a 8.125
_cell_length_b 8.125
_cell_length_c 8.943
_cell_angle_alpha 90.00
_cell_angle_beta 90.00
_cell_angle_gamma 90.00
loop_
_atom_site_label
_atom_site_type_symbol
_atom_site_fract_x
_atom_site_fract_y
_atom_site_fract_z
Ba1 Ba 0.167 0.250 0.125
Pb1 Pb 0.000 0.000 0.500
F1 F 0.000 0.000 0.000
# formation energy without anion corrections	-1.578	eV per atom
# energy above the most stable polymorph in this dataset	0	meV/atom